No. 1
The following is a PBE calculation of an optimized crystal structure of ZnSb3Au, from Alexandria via LeMat-Bulk.

Cell lengths 5.4246, 5.4246, 5.4246 Å; angles 90.00, 90.00, 90.00 degrees
Element x y z (fractional)
1 Zn 0.0000 0.0000 0.0000
2 Sb 0.0000 0.5000 0.5000
3 Sb 0.5000 0.0000 0.5000
4 Sb 0.5000 0.5000 0.0000
5 Au 0.5000 0.5000 0.5000

Computed properties:
**DFT total energy**: -2.6744 eV/atom
**Excess energy over the best structure of this formula in the dataset**: 0.026 eV per atom

No. 2
The following is a PBE calculation of an optimized crystal structure of MgSn4Pb, from Alexandria via LeMat-Bulk.

Cell lengths 3.4652, 3.4652, 13.5720 Å; angles 90.00, 90.00, 90.00 degrees
Element x y z (fractional)
1 Mg 0.0000 0.0000 0.0000
2 Sn 0.0000 0.0000 0.3188
3 Sn 0.0000 0.0000 0.6812
4 Sn 0.5000 0.5000 0.1496
5 Sn 0.5000 0.5000 0.8504
6 Pb 0.5000 0.5000 0.5000

Computed properties:
**ΔE_f**: 0.00 eV/atom
**DFT total energy**: -3.5539 eV/atom
**Excess energy over the best structure of this formula in the dataset**: 0.000 eV per atom